Entry 1:
Below is crystalline Sm3PtO at its relaxed geometry, with properties calculated at the GGA-PBE level.

Calculated values
VASP energy: -6.485 eV/atom
N(E_F): 4.2 states/eV per cell
E above lowest polymorph: 0.056 eV per atom
space group: Pm-3m (221)

```
5
Lattice="4.7902 0.0000 0.0000 0.0000 4.7902 0.0000 0.0000 0.0000 4.7902" Properties=species:S:1:pos:R:3 pbc="T T T"
Sm 0.0000 0.0000 2.3951
Sm 0.0000 2.3951 0.0000
Sm 2.3951 0.0000 0.0000
Pt 2.3951 2.3951 2.3951
O 0.0000 0.0000 0.0000
```

=====

Entry 2:
Below is crystalline Sm5Pt4O at its relaxed geometry, with properties calculated at the GGA-PBE level.

Calculated values
VASP energy: -6.637 eV/atom
N(E_F): 5.5 states/eV per cell
space group: I4 (79)

```
10
Lattice="-4.5081 4.5081 2.8423 4.5081 -4.5081 2.8423 4.5081 4.5081 -2.8423" Properties=species:S:1:pos:R:3 pbc="T T T"
Sm 0.0000 0.0000 0.0000
Sm 3.4593 2.1741 -0.1814
Sm 2.3340 -1.0488 2.6609
Sm 2.1741 5.5569 -0.1814
Sm 1.0488 2.3340 2.6609
Pt 6.0687 0.6919 -0.1830
Pt 0.6919 2.9474 -0.1830
Pt 3.8162 1.5606 2.6593
Pt -1.5606 3.8162 2.6593
O 0.0000 0.0000 2.3760
```

=====

Entry 3:
Below is crystalline SmPt2O4 at its relaxed geometry, with properties calculated at the GGA-PBE level.

Calculated values
VASP energy: -6.586 eV/atom
N(E_F): 6.3 states/eV per cell
space group: P-1 (2)

```
14
Lattice="5.4437 0.0000 0.0000 -2.0932 5.7430 0.0000 -1.9729 -1.3764 6.7143" Properties=species:S:1:pos:R:3 pbc="T T T"
Sm -0.6615 2.1667 1.8547
Sm 2.0392 2.1999 4.8596
Pt -0.9865 -0.6882 3.3571
Pt 2.7219 0.0000 0.0000
Pt 1.7354 -0.6882 3.3571
Pt 1.6753 2.8715 0.0000
O -1.7339 3.5311 3.4961
O -0.1389 3.8360 0.1074
O 1.1598 1.0672 0.5847
O 0.3808 0.8197 3.5686
O 0.9968 3.5470 3.1457
O 0.2179 3.2995 6.1296
O 1.5165 0.5306 6.6069
O 3.1115 0.8356 3.2182
```

=====

Entry 4:
Below is crystalline Sm6PtO12 at its relaxed geometry, with properties calculated at the GGA-PBE level.

Calculated values
VASP energy: -7.737 eV/atom
N(E_F): 10.5 states/eV per cell
space group: R-3 (148)

```
19
Lattice="5.0344 2.9066 3.2125 -5.0344 2.9066 3.2125 0.0000 -5.8132 3.2125" Properties=species:S:1:pos:R:3 pbc="T T T"
Sm -3.5103 -1.0673 5.0224
Sm -0.8308 -3.5736 4.6151
Sm -2.6795 2.5063 4.6151
Sm 2.6794 -2.5063 5.0224
Sm 0.8308 3.5736 5.0224
Sm 3.5103 1.0673 4.6151
Pt 0.0000 0.0000 4.8187
O -4.2659 0.9433 4.1488
O -2.9499 -3.2228 5.4887
O -1.1686 -1.2667 3.7720
O 1.3161 -4.1661 4.1488
O -0.5127 1.6454 3.7720
O -1.6813 0.3787 5.8655
O 1.6813 -0.3787 3.7720
O 0.5127 -1.6454 5.8655
O -1.3161 4.1661 5.4887
O 1.1686 1.2667 5.8655
O 2.9499 3.2228 4.1488
O 4.2659 -0.9433 5.4887
```

=====

Entry 5:
Below is crystalline SrSmPtO4 at its relaxed geometry, with properties calculated at the GGA-PBE level.

Calculated values
VASP energy: -6.616 eV/atom
space group: Imma (74)

```
14
Lattice="-3.3489 3.6147 4.7650 3.3489 -3.6147 4.7650 3.3489 3.6147 -4.7650" Properties=species:S:1:pos:R:3 pbc="T T T"
Sr 0.0000 1.8073 1.4673
Sr 3.3489 1.8073 3.2977
Sm 3.3489 0.0000 0.0000
Sm 0.0000 0.0000 4.7650
Pt 1.6745 1.8073 -2.3825
Pt 1.6745 -1.8073 2.3825
O 3.3489 -0.5220 2.3574
O 3.3489 3.0927 -2.3574
O 1.9262 1.8073 0.2362
O 4.7717 1.8073 0.2362
O -1.4227 1.8073 4.5288
O 1.4227 1.8073 4.5288
O 0.0000 0.5220 7.1224
O 0.0000 4.1367 2.4077
```

=====

Entry 6:
Below is crystalline Sm2TlPtO5 at its relaxed geometry, with properties calculated at the GGA-PBE level.

Calculated values
VASP energy: -6.813 eV/atom
N(E_F): 11.8 states/eV per cell
space group: P4/mbm (127)

```
18
Lattice="6.8127 0.0000 0.0000 0.0000 6.8127 0.0000 0.0000 0.0000 5.8775" Properties=species:S:1:pos:R:3 pbc="T T T"
Sm 1.1993 2.2071 0.0000
Sm 2.2071 5.6134 0.0000
Sm 4.6056 1.1993 0.0000
Sm 5.6134 4.6056 0.0000
Tl 0.0000 0.0000 2.9387
Tl 3.4063 3.4063 2.9387
Pt 0.0000 3.4063 2.9387
Pt 3.4063 0.0000 2.9387
O 0.0000 0.0000 0.0000
O 0.9011 4.3074 1.3957
O 0.9011 4.3074 4.4817
O 2.5052 0.9011 1.3957
O 2.5052 0.9011 4.4817
O 3.4063 3.4063 0.0000
O 4.3074 5.9116 1.3957
O 4.3074 5.9116 4.4817
O 5.9116 2.5052 1.3957
O 5.9116 2.5052 4.4817
```

=====

Entry 7:
Below is crystalline Sm2ZnPtO6 at its relaxed geometry, with properties calculated at the GGA-PBE level.

Calculated values
VASP energy: -6.835 eV/atom
N(E_F): 0.0 states/eV per cell
space group: P2_1/c (14)

```
20
Lattice="5.4538 0.0000 0.0000 0.0000 5.8415 0.0000 -5.4177 0.0000 7.8101" Properties=species:S:1:pos:R:3 pbc="T T T"
Sm -0.1119 0.4325 1.9575
Sm -2.8208 2.4882 5.8625
Sm 2.8569 3.3532 1.9476
Sm 0.1481 5.4090 5.8527
Zn 2.7269 0.0000 0.0000
Zn 0.0181 2.9207 3.9051
Pt -2.7089 0.0000 3.9051
Pt 0.0000 2.9207 0.0000
O -4.4195 1.1722 7.3513
O -1.7106 1.7485 3.4462
O -3.7458 4.0432 7.3710
O -1.0369 4.7190 3.4659
O -2.0692 0.2396 5.8376
O 0.6397 2.6812 1.9326
O -0.6036 3.1603 5.8776
O 2.1053 5.6019 1.9725
O 1.0731 1.1225 4.3442
O 3.7819 1.7983 0.4392
O 1.7467 4.0930 4.3639
O 4.4556 4.6693 0.4589
```

=====

Entry 8:
Below is crystalline Sn2Pt2O7 at its relaxed geometry, with properties calculated at the GGA-PBE level.

Calculated values
VASP energy: -5.873 eV/atom
N(E_F): 6.7 states/eV per cell
space group: Fd-3m (227)

```
22
Lattice="0.0000 5.1487 5.1487 5.1487 0.0000 5.1487 5.1487 5.1487 0.0000" Properties=species:S:1:pos:R:3 pbc="T T T"
Sn 0.0000 0.0000 0.0000
Sn 2.5744 2.5744 0.0000
Sn 2.5744 0.0000 2.5744
Sn 0.0000 2.5744 2.5744
Pt 5.1487 2.5744 2.5744
Pt 2.5744 5.1487 2.5744
Pt 2.5744 2.5744 5.1487
Pt 5.1487 5.1487 5.1487
O 1.2872 1.2872 1.2872
O 3.8615 3.8615 1.6424
O 3.8615 1.6424 3.8615
O 6.0806 3.8615 3.8615
O 6.4359 6.4359 4.2168
O 6.4359 4.2168 6.4359
O 8.6550 6.4359 6.4359
O 1.6424 3.8615 3.8615
O 3.8615 6.0806 3.8615
O 3.8615 3.8615 6.0806
O 4.2168 6.4359 6.4359
O 6.4359 8.6550 6.4359
O 6.4359 6.4359 8.6550
O 9.0103 9.0103 9.0103
```

=====

Entry 9:
Below is crystalline SnPt3O at its relaxed geometry, with properties calculated at the GGA-PBE level.

Calculated values
VASP energy: -3.808 eV/atom
N(E_F): 7.5 states/eV per cell
E above lowest polymorph: 1.279 eV per atom
space group: Pm-3m (221)

```
5
Lattice="4.9685 0.0000 0.0000 0.0000 4.9685 0.0000 0.0000 0.0000 4.9685" Properties=species:S:1:pos:R:3 pbc="T T T"
Sn 0.0000 0.0000 0.0000
Pt 0.0000 0.0000 2.4842
Pt 0.0000 2.4842 0.0000
Pt 2.4842 0.0000 0.0000
O 2.4842 2.4842 2.4842
```

=====

Entry 10:
Below is crystalline SnPtO2 at its relaxed geometry, with properties calculated at the GGA-PBE level.

Calculated values
VASP energy: -5.639 eV/atom
N(E_F): 5.1 states/eV per cell
space group: R-3m (166)

```
12
Lattice="3.2902 0.0000 0.0000 -1.6451 2.8494 0.0000 0.0000 0.0000 18.9949" Properties=species:S:1:pos:R:3 pbc="T T T"
Sn 0.0000 0.0000 0.0000
Sn 0.0000 1.8996 12.6633
Sn 1.6451 0.9498 6.3316
Pt 0.0000 0.0000 9.4975
Pt 0.0000 1.8996 3.1658
Pt 1.6451 0.9498 15.8291
O 0.0000 0.0000 7.4514
O 0.0000 0.0000 11.5435
O 0.0000 1.8996 1.1198
O 0.0000 1.8996 5.2119
O 1.6451 0.9498 13.7830
O 1.6451 0.9498 17.8751
```

=====

Entry 11:
Below is crystalline SnPt3O at its relaxed geometry, with properties calculated at the GGA-PBE level.

Calculated values
VASP energy: -5.087 eV/atom
N(E_F): 6.3 states/eV per cell
E above lowest polymorph: 0.000 eV per atom
space group: Pm-3m (221)

```
5
Lattice="4.3717 0.0000 0.0000 0.0000 4.3717 0.0000 0.0000 0.0000 4.3717" Properties=species:S:1:pos:R:3 pbc="T T T"
Sn 0.0000 0.0000 0.0000
Pt 0.0000 2.1859 2.1859
Pt 2.1859 0.0000 2.1859
Pt 2.1859 2.1859 0.0000
O 2.1859 2.1859 2.1859
```

=====

Entry 12:
Below is crystalline SnPt2O6 at its relaxed geometry, with properties calculated at the GGA-PBE level.

Calculated values
VASP energy: -5.905 eV/atom
N(E_F): 0.0 states/eV per cell
space group: C2/m (12)

```
9
Lattice="6.6602 -1.5955 0.0000 6.6602 1.5955 0.0000 -1.0277 0.0000 6.0525" Properties=species:S:1:pos:R:3 pbc="T T T"
Sn 0.0000 0.0000 0.0000
Pt 3.7514 0.0000 4.0165
Pt 8.5413 0.0000 2.0361
O 2.0136 0.0000 0.7465
O 1.8090 0.0000 3.3462
O 5.6962 0.0000 4.6557
O 6.5965 0.0000 1.3969
O 10.4837 0.0000 2.7063
O 10.2791 0.0000 5.3061
```

=====

Mass density
In order: 10.00 11.13 9.56 7.59 7.15 9.50 8.77 9.00 9.75 9.67 14.31 7.81
Unit: Mg/m³
Formation energy (no corrections)
In order: -1453 -1365 -1352 -2797 -2006 -2076 -2185 -892 1609 -649 330 -813
Unit: meV/atom
Total magnetic moment
In order: 0.0 0.0 0.0 2.1 1.0 1.0 0.0 0.0 0.0 0.0 0.0 0.0
Unit: μB per formula unit